No. 1
RbTlCdIn: optimized geometry, PBE.

energy above the most stable polymorph in this dataset	0.000	eV per formula unit
crystal system	trigonal
formation energy from the elements	-0.056	eV per atom
SG	R3m (160)
electronic total energy	-1.803	eV per atom
ρ	5.74	g cm⁻³

```
RbTlCdIn
1.0
2.516 1.452 6.820
-2.516 1.452 6.820
0.000 -2.905 6.820
Rb Tl Cd In
1 1 1 1
Cartesian
0.000 0.000 0.000
0.000 0.000 4.350
0.000 0.000 16.573
0.000 0.000 9.374
```



No. 2
NaNb2Ru: optimized geometry, PBE.

energy above the most stable polymorph in this dataset	1.521	eV per formula unit
crystal system	tetragonal
formation energy from the elements	0.763	eV per atom
SG	I-42d (122)
electronic total energy	-6.921	eV per atom
ρ	6.50	g cm⁻³

```
NaNb2Ru
1.0
-3.736 3.736 2.833
3.736 -3.736 2.833
3.736 3.736 -2.833
Na Nb Ru
2 4 2
Cartesian
0.000 0.000 0.000
0.000 3.736 1.417
1.868 -1.503 2.125
2.233 1.868 0.708
1.868 5.240 -0.708
1.503 1.868 3.542
3.736 0.000 1.417
0.000 0.000 2.833
```



No. 3
Cu2MoSe: optimized geometry, PBE.

crystal system	tetragonal
SG	P4/mmm (123)
electronic total energy	-5.226	eV per atom
ρ	8.67	g cm⁻³

```
Cu2MoSe
1.0
3.682 0.000 0.000
0.000 3.682 0.000
0.000 0.000 4.265
Cu Mo Se
2 1 1
Cartesian
0.000 1.841 0.000
1.841 0.000 0.000
0.000 0.000 2.132
1.841 1.841 2.132
```



No. 4
Pr2Au: optimized geometry, PBE.

crystal system	orthorhombic
formation energy from the elements	-0.537	eV per atom
SG	Pnma (62)
electronic total energy	-4.816	eV per atom
ρ	8.88	g cm⁻³

```
Pr2Au
1.0
7.390 0.000 0.000
0.000 5.155 0.000
0.000 0.000 9.403
Pr Au
8 4
Cartesian
0.049 1.289 1.652
1.118 1.289 5.511
2.577 3.867 0.810
3.646 3.867 6.354
3.744 1.289 3.049
4.812 1.289 8.593
6.272 3.867 3.892
7.341 3.867 7.751
1.780 1.289 8.503
1.915 3.867 3.802
5.475 1.289 5.601
5.610 3.867 0.900
```